NaSr3Pb4 after structural relaxation, computed with PBE-GGA.

The structure belongs to space group P4/mmm (No. 123); the cell edges are 3.9171, 3.9171 and 17.2304 Å and the angles 90.00°, 90.00° and 90.00°. Symmetry generates all atoms from Na at (0.0000, 0.0000, 0.0000), Sr at (0.0000, 0.0000, 0.2355), Sr at (0.0000, 0.0000, 0.5000), Pb at (0.5000, 0.5000, 0.1008) and Pb at (0.5000, 0.5000, 0.3652).

As for the total magnetization: 0.000 μB per formula unit. The value obtained for the volume is 33.0 Å³/atom.

=====

NaSr2Pb after structural relaxation, computed with PBE-GGA.

The structure belongs to space group P4/mmm (No. 123); the cell edges are 5.9730, 5.9730 and 4.1611 Å and the angles 90.00°, 90.00° and 90.00°. Symmetry generates all atoms from Na at (0.0000, 0.0000, 0.0000), Sr at (0.0000, 0.5000, 0.5000) and Pb at (0.5000, 0.5000, 0.0000).

As for the total magnetization: 0.000 μB per formula unit. The value obtained for the volume is 37.1 Å³/atom.

=====

Na12SrPb6 after structural relaxation, computed with PBE-GGA.

The structure belongs to space group R-3m (No. 166, hexagonal axes); the cell edges are 12.4316, 12.4316 and 15.2905 Å and the angles 90.00°, 90.00° and 120.00°. Symmetry generates all atoms from Na at (0.0000, 0.3722, 0.0000), Na at (0.0941, 0.1882, 0.8847), Sr at (0.0000, 0.0000, 0.5000) and Pb at (0.0167, 0.5084, 0.1885).

As for the total magnetization: 0.000 μB per formula unit. The value obtained for the volume is 35.9 Å³/atom.

=====

NaSr2Pb2 after structural relaxation, computed with PBE-GGA.

The structure belongs to space group I4/mmm (No. 139); the cell edges are 4.7021, 4.7021 and 19.0322 Å and the angles 90.00°, 90.00° and 90.00°. Symmetry generates all atoms from Na at (0.0000, 0.0000, 0.0000), Sr at (0.0000, 0.0000, 0.3853) and Pb at (0.0000, 0.5000, 0.2500).

The calculation puts the distance to the lowest polymorph of the same formula at 1.633 eV/f.u. As for the total magnetization: 0.000 μB per formula unit. The value obtained for the volume is 42.1 Å³/atom.

=====

Na4SrPb4 after structural relaxation, computed with PBE-GGA.

The structure belongs to space group P4_2/nmc (No. 137, origin choice 2); the cell edges are 7.3730, 7.3730 and 10.7467 Å and the angles 90.00°, 90.00° and 90.00°. Symmetry generates all atoms from Na at (0.0177, 0.2500, 0.1678), Sr at (0.2500, 0.7500, 0.2500) and Pb at (0.0392, 0.2500, 0.4645).

As for the total magnetization: 0.000 μB per formula unit. The value obtained for the volume is 32.5 Å³/atom.

=====

NaSr2Pb9 after structural relaxation, computed with PBE-GGA.

The structure belongs to space group P4/mmm (No. 123); the cell edges are 5.0007, 5.0007 and 15.0252 Å and the angles 90.00°, 90.00° and 90.00°. Symmetry generates all atoms from Na at (0.0000, 0.0000, 0.0000), Sr at (0.0000, 0.0000, 0.3344), Pb at (0.0000, 0.5000, 0.1603), Pb at (0.0000, 0.5000, 0.5000), Pb at (0.5000, 0.5000, 0.0000) and Pb at (0.5000, 0.5000, 0.3293).

As for the total magnetization: 0.000 μB per formula unit. The value obtained for the volume is 31.3 Å³/atom.

=====

Na4Sr3Pb4 after structural relaxation, computed with PBE-GGA.

The structure belongs to space group Immm (No. 71); the cell edges are 5.3185, 7.9977 and 17.4864 Å and the angles 90.00°, 90.00° and 90.00°. Symmetry generates all atoms from Na at (0.0000, 0.2026, 0.1741), Sr at (0.0000, 0.0000, 0.3783), Sr at (0.0000, 0.5000, 0.5000), Pb at (0.0000, 0.3113, 0.0000) and Pb at (0.0000, 0.5000, 0.2952).

The calculation puts the distance to the lowest polymorph of the same formula at 0.415 eV/f.u. As for the total magnetization: 0.000 μB per formula unit. The value obtained for the volume is 33.8 Å³/atom.

=====

Na3SrPb3 after structural relaxation, computed with PBE-GGA.

The structure belongs to space group Pm-3n (No. 223); the cell edges are 8.2835, 8.2835 and 8.2835 Å and the angles 90.00°, 90.00° and 90.00°. Symmetry generates all atoms from Na at (0.0000, 0.2500, 0.5000), Sr at (0.0000, 0.0000, 0.0000) and Pb at (0.0000, 0.5000, 0.2500).

As for the total magnetization: 0.000 μB per formula unit. The value obtained for the volume is 40.6 Å³/atom.

=====

| no. | ΔH_f (0 K) (eV/atom) |
| --- | --- |
| 1 | -0.4233 |
| 2 | -0.3106 |
| 3 | -0.0790 |
| 4 | -0.1034 |
| 5 | -0.1192 |
| 6 | -0.2653 |
| 7 | -0.2685 |
| 8 | 0.3059 |